1.
Compound: YHfIO2
Source: Alexandria
Functional: SCAN
Structure: PBEsol geometry

## Properties
The raw total energy is -28.9261 eV/atom. As for the uncorrected formation energy: -982 meV per atom. Its space-group type is P4/mmm (123).

Lattice parameters (Å, degrees): 4.282 4.282 5.753 90.00 90.00 90.00
Site moments in Bohr magnetons follow the coordinates.
Sites, in units of the cell vectors:
I  0.000  0.000  0.500  0.00
Hf  0.500  0.500  0.500  1.18
O  0.000  0.500  0.000  -0.04
O  0.500  0.000  0.000  -0.04
Y  0.000  0.000  0.000  0.01

2.
Compound: HfZrIO2
Source: Alexandria
Functional: SCAN
Structure: PBEsol geometry

## Properties
The raw total energy is -29.6434 eV/atom. As for the uncorrected formation energy: -1128 meV per atom. Its space-group type is P4/mmm (123).

Lattice parameters (Å, degrees): 4.073 4.073 5.991 90.00 90.00 90.00
Site moments in Bohr magnetons follow the coordinates.
Sites, in units of the cell vectors:
Zr  0.000  0.000  0.000  0.07
I  0.000  0.000  0.500  0.02
O  0.000  0.500  0.000  0.04
O  0.500  0.000  0.000  0.04
Hf  0.500  0.500  0.500  1.39

3.
Compound: HfZrI2O
Source: Alexandria
Functional: SCAN
Structure: PBEsol geometry

## Properties
The raw total energy is -35.1833 eV/atom. As for the uncorrected formation energy: -566 meV per atom. Its space-group type is P4/mmm (123).

Lattice parameters (Å, degrees): 3.879 5.747 5.747 90.00 90.00 90.00
Site moments in Bohr magnetons follow the coordinates.
Sites, in units of the cell vectors:
Hf  0.500  0.500  0.500  1.08
Zr  0.000  0.000  0.000  -0.40
O  0.500  0.000  0.000  0.04
I  0.000  0.500  0.000  0.01
I  0.000  0.000  0.500  0.01

4.
Compound: HfOs3I
Source: Alexandria
Functional: SCAN
Structure: PBEsol geometry

## Properties
The raw total energy is -60.4368 eV/atom. As for the uncorrected formation energy: 2574 meV per atom. Its space-group type is Pm-3m (221).

Lattice parameters (Å, degrees): 4.833 4.833 4.833 90.00 90.00 90.00
Site moments in Bohr magnetons follow the coordinates.
Sites, in units of the cell vectors:
Os  0.500  0.000  0.000  0.82
Os  0.000  0.000  0.500  0.82
Os  0.000  0.500  0.000  0.82
Hf  0.000  0.000  0.000  -0.13
I  0.500  0.500  0.500  0.09

5.
Compound: HfSbOsI2
Source: Alexandria
Functional: SCAN
Structure: PBEsol geometry

## Properties
The raw total energy is -47.7613 eV/atom. As for the uncorrected formation energy: 1298 meV per atom. Its space-group type is P4/mmm (123).

Lattice parameters (Å, degrees): 5.394 5.394 5.624 90.00 90.00 90.00
Site moments in Bohr magnetons follow the coordinates.
Sites, in units of the cell vectors:
Sb  0.000  0.000  0.500  -0.04
Os  0.500  0.500  0.500  2.77
I  0.000  0.500  0.000  0.01
I  0.500  0.000  0.000  0.01
Hf  0.000  0.000  0.000  0.12

6.
Compound: Sr2HfPI
Source: Alexandria
Functional: SCAN
Structure: PBEsol geometry

## Properties
The raw total energy is -30.4812 eV/atom. As for the uncorrected formation energy: 392 meV per atom. Its space-group type is P4/mmm (123).

Lattice parameters (Å, degrees): 5.630 5.730 5.730 90.00 90.00 90.00
Site moments in Bohr magnetons follow the coordinates.
Sites, in units of the cell vectors:
Sr  0.000  0.000  0.500  0.08
Sr  0.000  0.500  0.000  0.08
P  0.000  0.000  0.000  0.02
Hf  0.500  0.500  0.500  1.50
I  0.500  0.000  0.000  0.01

For the records above, the corresponding size of the total moment values read 0.35, 0.50, 0.25, 0.57, 0.72, 0.67 μB per atom.